No. 1
K2FeI4 | PBE | relaxed

Geometry as CIF:
```
data_K2FeI4
_symmetry_space_group_name_H-M 'P 1'
_symmetry_Int_Tables_number 1
_symmetry_space_group_name_Hall 'P 1'
_cell_length_a 5.716
_cell_length_b 5.716
_cell_length_c 9.654
_cell_angle_alpha 107.22
_cell_angle_beta 107.22
_cell_angle_gamma 90.00
loop_
_atom_site_label
_atom_site_type_symbol
_atom_site_fract_x
_atom_site_fract_y
_atom_site_fract_z
I1 I 0.838 0.838 0.677
I2 I 0.500 0.000 0.000
I3 I 0.000 0.500 0.000
I4 I 0.162 0.162 0.323
K1 K 0.636 0.636 0.271
K2 K 0.364 0.364 0.729
Fe1 Fe 0.000 0.000 0.000
```

Computed properties:
- E_form (uncorrected) (eV per atom) = -0.795
- volume (Å³/f.u.) = 286.4
- density of states at the Fermi level (states/eV per cell) = 5.5
- spin magnetization (μB/atom) = 0.5713
- E_tot (eV/cell) = -22.4

***

No. 2
KFeI4 | PBE | relaxed

Geometry as CIF:
```
data_KFeI4
_symmetry_space_group_name_H-M 'P 1'
_symmetry_Int_Tables_number 1
_symmetry_space_group_name_Hall 'P 1'
_cell_length_a 7.325
_cell_length_b 7.325
_cell_length_c 7.325
_cell_angle_alpha 105.78
_cell_angle_beta 105.78
_cell_angle_gamma 117.13
loop_
_atom_site_label
_atom_site_type_symbol
_atom_site_fract_x
_atom_site_fract_y
_atom_site_fract_z
K1 K 0.750 0.250 0.500
I1 I 0.498 0.833 0.953
I2 I 0.455 0.502 0.335
I3 I 0.880 0.545 0.047
I4 I 0.167 0.120 0.665
Fe1 Fe 0.500 0.500 0.000
```

Computed properties:
- E_form (uncorrected) (eV per atom) = -0.609
- volume (Å³/f.u.) = 298.4
- spin magnetization (μB/atom) = 0.8310
- E_tot (eV/cell) = -19.4

***

No. 3
KFe3I8 | PBE | relaxed

Geometry as CIF:
```
data_KFe3I8
_symmetry_space_group_name_H-M 'P 1'
_symmetry_Int_Tables_number 1
_symmetry_space_group_name_Hall 'P 1'
_cell_length_a 7.139
_cell_length_b 7.139
_cell_length_c 10.239
_cell_angle_alpha 94.26
_cell_angle_beta 94.26
_cell_angle_gamma 69.02
loop_
_atom_site_label
_atom_site_type_symbol
_atom_site_fract_x
_atom_site_fract_y
_atom_site_fract_z
Fe1 Fe 0.000 0.000 0.500
Fe2 Fe 0.623 0.623 0.287
Fe3 Fe 0.377 0.377 0.713
I1 I 0.697 0.697 0.061
I2 I 0.744 0.232 0.300
I3 I 0.236 0.236 0.506
I4 I 0.232 0.744 0.300
I5 I 0.256 0.768 0.700
I6 I 0.768 0.256 0.700
I7 I 0.303 0.303 0.939
I8 I 0.764 0.764 0.494
K1 K 0.000 0.000 0.000
```

Computed properties:
- E_form (uncorrected) (eV per atom) = -0.330
- volume (Å³/f.u.) = 485.2
- density of states at the Fermi level (states/eV per cell) = 14.2
- spin magnetization (μB/atom) = 0.4061
- E_tot (eV/cell) = -42.8

***

No. 4
K2FeI | PBE | relaxed

Geometry as CIF:
```
data_K2FeI
_symmetry_space_group_name_H-M 'P 1'
_symmetry_Int_Tables_number 1
_symmetry_space_group_name_Hall 'P 1'
_cell_length_a 6.043
_cell_length_b 6.043
_cell_length_c 6.043
_cell_angle_alpha 60.00
_cell_angle_beta 60.00
_cell_angle_gamma 60.00
loop_
_atom_site_label
_atom_site_type_symbol
_atom_site_fract_x
_atom_site_fract_y
_atom_site_fract_z
K1 K 0.750 0.750 0.750
K2 K 0.250 0.250 0.250
I1 I 0.500 0.500 0.500
Fe1 Fe 0.000 0.000 0.000
```

Computed properties:
- E_form (uncorrected) (eV per atom) = 0.196
- volume (Å³/f.u.) = 156.1
- density of states at the Fermi level (states/eV per cell) = 34.7
- spin magnetization (μB/atom) = 0.7500
- E_tot (eV/cell) = -11.4

***

No. 5
K3FeI6 | PBE | relaxed

Geometry as CIF:
```
data_K3FeI6
_symmetry_space_group_name_H-M 'P 1'
_symmetry_Int_Tables_number 1
_symmetry_space_group_name_Hall 'P 1'
_cell_length_a 7.641
_cell_length_b 11.521
_cell_length_c 11.521
_cell_angle_alpha 103.40
_cell_angle_beta 90.00
_cell_angle_gamma 90.00
loop_
_atom_site_label
_atom_site_type_symbol
_atom_site_fract_x
_atom_site_fract_y
_atom_site_fract_z
I1 I 0.138 0.058 0.942
I2 I 0.638 0.942 0.058
I3 I 0.199 0.674 0.658
I4 I 0.699 0.326 0.342
I5 I 0.671 0.594 0.111
I6 I 0.171 0.111 0.594
I7 I 0.201 0.792 0.208
I8 I 0.199 0.342 0.326
I9 I 0.701 0.208 0.792
I10 I 0.671 0.889 0.406
I11 I 0.171 0.406 0.889
I12 I 0.699 0.658 0.674
Fe1 Fe 0.041 0.196 0.804
Fe2 Fe 0.541 0.804 0.196
K1 K 0.968 0.711 0.921
K2 K 0.468 0.921 0.711
K3 K 0.929 0.601 0.399
K4 K 0.468 0.289 0.079
K5 K 0.429 0.399 0.601
K6 K 0.968 0.079 0.289
```

Computed properties:
- E_form (uncorrected) (eV per atom) = -0.916
- volume (Å³/f.u.) = 493.3
- density of states at the Fermi level (states/eV per cell) = 13.4
- spin magnetization (μB/atom) = 0.4557
- E_tot (eV/cell) = -60.4

***

No. 6
K4FeI6 | PBE | relaxed

Geometry as CIF:
```
data_K4FeI6
_symmetry_space_group_name_H-M 'P 1'
_symmetry_Int_Tables_number 1
_symmetry_space_group_name_Hall 'P 1'
_cell_length_a 8.876
_cell_length_b 9.514
_cell_length_c 16.231
_cell_angle_alpha 75.67
_cell_angle_beta 74.13
_cell_angle_gamma 62.19
loop_
_atom_site_label
_atom_site_type_symbol
_atom_site_fract_x
_atom_site_fract_y
_atom_site_fract_z
K1 K 0.340 0.964 0.626
K2 K 0.676 0.248 0.807
K3 K 0.705 0.144 0.170
K4 K 0.806 0.282 0.452
K5 K 0.269 0.748 0.307
K6 K 0.982 0.644 0.670
K7 K 0.070 0.464 0.126
K8 K 0.460 0.782 0.952
I1 I 0.990 0.089 0.951
I2 I 0.952 0.580 0.921
I3 I 0.403 0.156 0.993
I4 I 0.017 0.146 0.257
I5 I 0.447 0.656 0.493
I6 I 0.304 0.264 0.737
I7 I 0.921 0.035 0.639
I8 I 0.969 0.589 0.451
I9 I 0.405 0.535 0.139
I10 I 0.695 0.764 0.237
I11 I 0.547 0.080 0.421
I12 I 0.580 0.646 0.757
Fe1 Fe 0.670 0.778 0.402
Fe2 Fe 0.151 0.278 0.902
```

Computed properties:
- E_form (uncorrected) (eV per atom) = -1.070
- volume (Å³/f.u.) = 577.3
- density of states at the Fermi level (states/eV per cell) = 14.1
- spin magnetization (μB/atom) = 0.3636
- E_tot (eV/cell) = -67.8

***

No. 7
K2FeI4 | PBE | relaxed

Geometry as CIF:
```
data_K2FeI4
_symmetry_space_group_name_H-M 'P 1'
_symmetry_Int_Tables_number 1
_symmetry_space_group_name_Hall 'P 1'
_cell_length_a 8.268
_cell_length_b 7.926
_cell_length_c 9.805
_cell_angle_alpha 71.91
_cell_angle_beta 90.00
_cell_angle_gamma 90.00
loop_
_atom_site_label
_atom_site_type_symbol
_atom_site_fract_x
_atom_site_fract_y
_atom_site_fract_z
K1 K 0.750 0.741 0.068
K2 K 0.250 0.218 0.449
K3 K 0.750 0.782 0.551
K4 K 0.250 0.259 0.932
I1 I 0.750 0.420 0.872
I2 I 0.501 0.004 0.759
I3 I 0.250 0.580 0.128
I4 I 0.001 0.996 0.241
I5 I 0.750 0.402 0.425
I6 I 0.250 0.598 0.575
I7 I 0.999 0.004 0.759
I8 I 0.499 0.996 0.241
Fe1 Fe 0.250 0.776 0.300
Fe2 Fe 0.750 0.224 0.700
```

Computed properties:
- E_form (uncorrected) (eV per atom) = -0.885
- volume (Å³/f.u.) = 305.4
- density of states at the Fermi level (states/eV per cell) = 13.4
- spin magnetization (μB/atom) = 0.5714
- E_tot (eV/cell) = -46.1

***

No. 8
K3Fe2I8 | PBE | relaxed

Geometry as CIF:
```
data_K3Fe2I8
_symmetry_space_group_name_H-M 'P 1'
_symmetry_Int_Tables_number 1
_symmetry_space_group_name_Hall 'P 1'
_cell_length_a 8.535
_cell_length_b 10.242
_cell_length_c 9.198
_cell_angle_alpha 56.17
_cell_angle_beta 72.03
_cell_angle_gamma 90.00
loop_
_atom_site_label
_atom_site_type_symbol
_atom_site_fract_x
_atom_site_fract_y
_atom_site_fract_z
I1 I 0.232 0.423 0.734
I2 I 0.190 0.349 0.302
I3 I 0.232 0.843 0.734
I4 I 0.277 0.876 0.248
I5 I 0.723 0.124 0.752
I6 I 0.768 0.157 0.266
I7 I 0.810 0.651 0.698
I8 I 0.768 0.577 0.266
K1 K 0.000 0.000 0.000
K2 K 0.500 0.720 0.000
K3 K 0.500 0.280 0.000
Fe1 Fe 0.131 0.690 0.621
Fe2 Fe 0.869 0.310 0.379
```

Computed properties:
- E_form (uncorrected) (eV per atom) = -0.751
- volume (Å³/f.u.) = 620.1
- density of states at the Fermi level (states/eV per cell) = 8.8
- spin magnetization (μB/atom) = 0.6923
- E_tot (eV/cell) = -42.4